Entry 1:
DFT (PBE-GGA) results for a geometry-optimized Ta2MnAs structure.

Output
Space-group type: I4/mmm (139)
E_tot, eV per atom: -9.397

a = 4.774 Å, b = 4.774 Å, c = 4.774 Å
α = 129.49°, β = 129.49°, γ = 74.22°
Fractional positions:
1 Ta 0.250 0.750 0.500
2 Ta 0.750 0.250 0.500
3 Mn 0.000 0.000 0.000
4 As 0.500 0.500 0.000

Entry 2:
DFT (PBE-GGA) results for a geometry-optimized TaMn2As2 structure.

Output
Polymorph energy (0 for the lowest one), meV per atom: 0
Space-group type: P4/mbm (127)

a = 6.968 Å, b = 6.968 Å, c = 2.858 Å
α = 90.00°, β = 90.00°, γ = 90.00°
Fractional positions:
1 Ta 0.000 0.000 0.000
2 Ta 0.500 0.500 0.000
3 Mn 0.141 0.359 0.500
4 Mn 0.359 0.859 0.500
5 Mn 0.641 0.141 0.500
6 Mn 0.859 0.641 0.500
7 As 0.153 0.653 0.000
8 As 0.347 0.153 0.000
9 As 0.653 0.847 0.000
10 As 0.847 0.347 0.000

Entry 3:
DFT (PBE-GGA) results for a geometry-optimized Ta2MnAs structure.

Output
Space-group type: Cmmm (65)
E_tot, eV per atom: -9.455

a = 4.479 Å, b = 4.479 Å, c = 3.233 Å
α = 90.00°, β = 90.00°, γ = 102.78°
Fractional positions:
1 Ta 0.000 0.500 0.000
2 Ta 0.500 0.000 0.000
3 Mn 0.000 0.000 0.500
4 As 0.500 0.500 0.500

Entry 4:
DFT (PBE-GGA) results for a geometry-optimized TaMnAs2 structure.

Output
Polymorph energy (0 for the lowest one), meV per atom: 305
Space-group type: Cmmm (65)

a = 3.080 Å, b = 3.080 Å, c = 7.386 Å
α = 90.00°, β = 90.00°, γ = 106.69°
Fractional positions:
1 Ta 0.000 0.000 0.000
2 Mn 0.000 0.000 0.500
3 As 0.500 0.500 0.259
4 As 0.500 0.500 0.741